Here is crystalline Dy4Er3Te2Ir2 at its relaxed geometry from OQMD. Energies are from PBE.

Summary:
Total moment   0.009 Bohr magnetons per cell
ρ   10.24 g cm⁻³
Energy relative to the lowest polymorph listed for this composition   8 meV/atom
Raw total energy   -0.442 Ry per atom

The structure in CIF format:
```
data_Dy4Er3Te2Ir2
_chemical_formula_sum 'Dy8 Er6 Te4 Ir4'
_cell_length_a 3.926
_cell_length_b 15.690
_cell_length_c 9.429
_cell_angle_alpha 90.00
_cell_angle_beta 90.00
_cell_angle_gamma 90.00
_symmetry_space_group_name_H-M 'I m m 2'
_symmetry_Int_Tables_number 44
loop_
_symmetry_equiv_pos_as_xyz
'x,y,z'
'-x,-y,z'
'-x,y,z'
'x,-y,z'
'x+1/2,y+1/2,z+1/2'
'-x+1/2,-y+1/2,z+1/2'
'-x+1/2,y+1/2,z+1/2'
'x+1/2,-y+1/2,z+1/2'
loop_
_atom_site_label
_atom_site_fract_x
_atom_site_fract_y
_atom_site_fract_z
Dy1 0.000 0.146 0.000
Dy2 0.000 0.184 0.640
Er1 0.000 0.368 0.850
Er2 0.000 0.500 0.268
Te1 0.000 0.000 0.503
Te2 0.000 0.500 0.606
Ir1 0.000 0.261 0.339
```

---

Here is crystalline SmHo2Sn4Au4 at its relaxed geometry from OQMD. Energies are from PBE.

Summary:
Total moment   0.037 Bohr magnetons per cell
ρ   11.24 g cm⁻³
Raw total energy   -0.335 Ry per atom

The structure in CIF format:
```
data_SmHo2Sn4Au4
_chemical_formula_sum 'Sm2 Ho4 Sn8 Au8'
_cell_length_a 4.541
_cell_length_b 7.311
_cell_length_c 15.514
_cell_angle_alpha 90.00
_cell_angle_beta 90.00
_cell_angle_gamma 90.00
_symmetry_space_group_name_H-M 'I m m m'
_symmetry_Int_Tables_number 71
_symmetry_space_group_name_Hall '-I 2 2'
loop_
_atom_site_label
_atom_site_fract_x
_atom_site_fract_y
_atom_site_fract_z
Sm1 0.000 0.000 0.000
Ho1 0.000 0.500 0.129
Sn1 0.000 0.000 0.216
Sn2 0.000 0.194 0.500
Au1 0.000 0.297 0.332
```

---

Q: Look up the total moment of the second one.
A: 0.037 Bohr magnetons per cell

---

Q: Look up the total moment of the second one.
A: 0.037 Bohr magnetons per cell